(1)
The following is a GGA-PBE calculation of a relaxed structure of SrSi2I, from the Alexandria database.

E above lowest polymorph: 0.0 kJ per mole of atoms
space group: I-42d (122)
formation energy without anion corrections: 420 meV/atom
magnetization: 0.00 μB per formula unit

```
SrSi2I
1.0
-0.979 4.547 7.405
-8.604 -1.552 -0.184
-4.367 -1.044 5.227
I Sr Si
2 2 4
direct
0.000 0.000 0.000
0.750 0.250 0.500
0.500 0.500 0.000
0.250 0.750 0.500
0.375 0.361 0.750
0.875 0.889 0.750
0.639 0.125 0.250
0.111 0.625 0.250
```



(2)
The following is a GGA-PBE calculation of a relaxed structure of YGa12Pd6, from the Alexandria database.

space group: R-3m (166)
magnetization: 0.00 μB per formula unit
ΔH_f (0 K): -8.94 eV per formula unit

```
YGa12Pd6
1.0
-3.194 6.330 -1.240
-4.383 -3.307 4.653
5.794 1.685 3.924
Ga Pd Y
12 6 1
direct
0.608 0.857 0.608
0.143 0.392 0.392
0.392 0.392 0.143
0.500 0.890 0.110
0.500 0.110 0.890
0.608 0.608 0.857
0.392 0.143 0.392
0.890 0.110 0.500
0.110 0.500 0.890
0.857 0.608 0.608
0.890 0.500 0.110
0.110 0.890 0.500
0.717 0.289 0.289
0.711 0.711 0.283
0.283 0.711 0.711
0.711 0.283 0.711
0.289 0.289 0.717
0.289 0.717 0.289
0.000 0.000 0.000
```



(3)
The following is a GGA-PBE calculation of a relaxed structure of CrSnSe2, from the Alexandria database.

space group: I4/mcm (140)
formation energy without anion corrections: -97 meV/atom
magnetization: 0.00 μB per formula unit

```
CrSnSe2
1.0
-1.887 -2.596 7.041
-5.268 -4.713 -3.150
-1.496 -5.820 1.705
Se Cr Sn
4 2 2
direct
0.335 0.165 0.000
0.165 0.665 0.000
0.665 0.835 0.000
0.835 0.335 0.000
0.750 0.250 0.500
0.250 0.750 0.500
0.750 0.750 0.500
0.250 0.250 0.500
```



(4)
The following is a GGA-PBE calculation of a relaxed structure of Th2Sc3Cd, from the Alexandria database.

space group: P4/mmm (123)
magnetization: 0.00 μB per formula unit
ΔH_f (0 K): -0.57 eV per formula unit

```
Th2Sc3Cd
1.0
3.470 0.000 0.000
0.000 3.470 0.000
0.000 0.000 13.086
Th Cd Sc
2 1 3
direct
0.500 0.500 0.180
0.500 0.500 0.820
0.500 0.500 0.500
0.000 0.000 0.644
0.000 0.000 0.000
0.000 0.000 0.356
```